(1)
The following is a GGA-PBEsol calculation of a relaxed structure of ZrRe2, from Alexandria via LeMat-Bulk.

Geometry as extended XYZ:
```
12
Lattice="5.247 0.000 0.000 -2.623 4.544 0.000 0.000 0.000 8.594" Properties=species:S:1:pos:R:3 pbc="T T T"
Zr 0.000 3.029 0.527
Zr 0.000 3.029 3.770
Zr 2.623 1.515 4.824
Zr 2.623 1.515 8.068
Re 0.000 0.000 0.000
Re 0.000 0.000 4.297
Re 0.000 1.555 6.446
Re -1.276 3.766 6.446
Re 1.347 0.778 2.149
Re 1.276 3.766 6.446
Re 3.900 0.778 2.149
Re 2.623 2.988 2.149
```

Computed properties:
Uncorrected energy in eV/atom: -12.2729
Calculated formation energy in meV per atom: -355
Theoretical density in g/cm³: 15.030
Symmetry: P6_3/mmc, No. 194


(2)
The following is a GGA-PBEsol calculation of a relaxed structure of ZrRe2, from Alexandria via LeMat-Bulk.

Geometry as extended XYZ:
```
3
Lattice="-1.517 1.517 5.519 1.517 -1.517 5.519 1.517 1.517 -5.519" Properties=species:S:1:pos:R:3 pbc="T T T"
Zr 0.000 0.000 0.000
Re 0.000 0.000 3.478
Re 0.000 0.000 7.559
```

Computed properties:
Uncorrected energy in eV/atom: -12.0025
Calculated formation energy in meV per atom: -85
Theoretical density in g/cm³: 15.149
Symmetry: I4/mmm, No. 139


(3)
The following is a GGA-PBEsol calculation of a relaxed structure of Zr3Re, from Alexandria via LeMat-Bulk.

Geometry as extended XYZ:
```
4
Lattice="-1.665 2.424 4.903 1.665 -2.424 4.903 1.665 2.424 -4.903" Properties=species:S:1:pos:R:3 pbc="T T T"
Zr 0.000 0.000 0.000
Zr 1.665 0.000 2.739
Zr 0.000 2.424 2.164
Re 0.000 0.000 4.903
```

Computed properties:
Uncorrected energy in eV/atom: -10.2970
Calculated formation energy in meV per atom: -147
Theoretical density in g/cm³: 9.646
Symmetry: Immm, No. 71


(4)
The following is a GGA-PBEsol calculation of a relaxed structure of ZrRe, from Alexandria via LeMat-Bulk.

Geometry as extended XYZ:
```
4
Lattice="0.000 3.237 3.237 3.237 0.000 3.237 3.237 3.237 0.000" Properties=species:S:1:pos:R:3 pbc="T T T"
Zr 0.809 0.809 0.809
Zr 5.664 5.664 5.664
Re 2.427 2.427 2.427
Re 4.046 4.046 4.046
```

Computed properties:
Uncorrected energy in eV/atom: -11.3404
Calculated formation energy in meV per atom: -130
Theoretical density in g/cm³: 13.587
Symmetry: Fd-3m, No. 227


(5)
The following is a GGA-PBEsol calculation of a relaxed structure of Zr2Re, from Alexandria via LeMat-Bulk.

Geometry as extended XYZ:
```
6
Lattice="1.652 -7.180 0.000 1.652 7.180 0.000 0.000 0.000 4.805" Properties=species:S:1:pos:R:3 pbc="T T T"
Zr 1.652 6.088 3.604
Zr 1.652 3.891 1.201
Zr 1.652 -3.891 3.604
Zr 1.652 -6.088 1.201
Re 1.652 1.144 3.604
Re 1.652 -1.144 1.201
```

Computed properties:
Uncorrected energy in eV/atom: -10.6831
Calculated formation energy in meV per atom: -179
Theoretical density in g/cm³: 10.740
Symmetry: Cmcm, No. 63


(6)
The following is a GGA-PBEsol calculation of a relaxed structure of RuRh2, from Alexandria via LeMat-Bulk.

Geometry as extended XYZ:
```
12
Lattice="-1.886 1.886 11.308 1.886 -1.886 11.308 1.886 1.886 -11.308" Properties=species:S:1:pos:R:3 pbc="T T T"
Ru 1.886 0.943 0.903
Ru 1.886 0.943 4.751
Ru 0.000 0.943 6.557
Ru 0.000 0.943 10.405
Rh 1.886 -0.943 6.585
Rh 1.886 0.943 -2.854
Rh 1.886 -0.943 10.376
Rh 0.000 0.943 2.799
Rh 1.886 0.943 8.508
Rh 0.000 2.828 0.931
Rh 0.000 0.943 14.162
Rh 0.000 2.828 4.723
```

Computed properties:
Uncorrected energy in eV/atom: -8.7899
Calculated formation energy in meV per atom: 27
Theoretical density in g/cm³: 12.676
Symmetry: I4_1/amd, No. 141
Relative energy among the computed polymorphs in meV/atom: 22


(7)
The following is a GGA-PBEsol calculation of a relaxed structure of Ru2Rh, from Alexandria via LeMat-Bulk.

Geometry as extended XYZ:
```
6
Lattice="1.886 -5.635 0.000 1.886 5.635 0.000 0.000 0.000 3.764" Properties=species:S:1:pos:R:3 pbc="T T T"
Ru 1.886 4.673 2.823
Ru 1.886 2.803 0.941
Ru 1.886 -2.803 2.823
Ru 1.886 -4.673 0.941
Rh 1.886 0.946 2.823
Rh 1.886 -0.946 0.941
```

Computed properties:
Uncorrected energy in eV/atom: -9.4278
Calculated formation energy in meV per atom: 67
Theoretical density in g/cm³: 12.665
Symmetry: Cmcm, No. 63
Relative energy among the computed polymorphs in meV/atom: 64


(8)
The following is a GGA-PBEsol calculation of a relaxed structure of Ru2Rh, from Alexandria via LeMat-Bulk.

Geometry as extended XYZ:
```
3
Lattice="2.662 0.000 0.000 -1.331 2.305 0.000 0.000 0.000 6.527" Properties=species:S:1:pos:R:3 pbc="T T T"
Ru 0.000 1.537 1.050
Ru 1.331 0.768 5.477
Rh 0.000 0.000 3.263
```

Computed properties:
Uncorrected energy in eV/atom: -9.4403
Calculated formation energy in meV per atom: 54
Theoretical density in g/cm³: 12.647
Symmetry: P-3m1, No. 164
Relative energy among the computed polymorphs in meV/atom: 52


(9)
The following is a GGA-PBEsol calculation of a relaxed structure of Ru4Rh, from Alexandria via LeMat-Bulk.

Geometry as extended XYZ:
```
5
Lattice="-2.975 2.975 1.885 2.975 -2.975 1.885 2.975 2.975 -1.885" Properties=species:S:1:pos:R:3 pbc="T T T"
Ru 4.151 0.570 0.000
Ru 0.570 1.799 0.000
Ru 2.405 1.176 1.885
Ru -1.176 2.405 1.885
Rh 0.000 0.000 1.885
```

Computed properties:
Uncorrected energy in eV/atom: -9.6841
Calculated formation energy in meV per atom: 82
Theoretical density in g/cm³: 12.619
Symmetry: I4/m, No. 87


(10)
The following is a GGA-PBEsol calculation of a relaxed structure of RuRh3, from Alexandria via LeMat-Bulk.

Geometry as extended XYZ:
```
4
Lattice="1.333 0.769 8.724 -1.333 0.769 8.724 0.000 -1.539 8.724" Properties=species:S:1:pos:R:3 pbc="T T T"
Ru 0.000 0.000 0.000
Rh 0.000 0.000 6.574
Rh 0.000 0.000 13.086
Rh 0.000 0.000 19.598
```

Computed properties:
Uncorrected energy in eV/atom: -8.6344
Calculated formation energy in meV per atom: 13
Theoretical density in g/cm³: 12.679
Symmetry: R-3m, No. 166


(11)
The following is a GGA-PBEsol calculation of a relaxed structure of RuRh3, from Alexandria via LeMat-Bulk.

Geometry as extended XYZ:
```
4
Lattice="2.663 0.000 0.000 0.000 3.775 0.000 0.000 0.000 5.335" Properties=species:S:1:pos:R:3 pbc="T T T"
Ru 0.000 0.000 0.000
Rh 0.000 0.000 2.668
Rh 1.331 1.888 1.316
Rh 1.331 1.888 4.020
```

Computed properties:
Uncorrected energy in eV/atom: -8.6305
Calculated formation energy in meV per atom: 16
Theoretical density in g/cm³: 12.687
Symmetry: Pmmm, No. 47


(12)
The following is a GGA-PBEsol calculation of a relaxed structure of Ru2Rh, from Alexandria via LeMat-Bulk.

Geometry as extended XYZ:
```
6
Lattice="4.859 -1.343 0.000 4.859 1.343 0.000 -1.508 0.000 6.131" Properties=species:S:1:pos:R:3 pbc="T T T"
Ru 0.000 0.000 0.000
Ru -0.384 0.000 3.756
Ru 3.372 0.000 1.697
Ru 5.580 0.000 5.799
Rh 2.242 0.000 4.111
Rh 5.967 0.000 2.033
```

Computed properties:
Uncorrected energy in eV/atom: -9.4865
Calculated formation energy in meV per atom: 8
Theoretical density in g/cm³: 12.667
Symmetry: Cm, No. 8
Relative energy among the computed polymorphs in meV/atom: 6


(13)
The following is a GGA-PBEsol calculation of a relaxed structure of RuRh3, from Alexandria via LeMat-Bulk.

Geometry as extended XYZ:
```
4
Lattice="2.666 -3.777 0.000 2.666 3.777 0.000 0.000 0.000 2.664" Properties=species:S:1:pos:R:3 pbc="T T T"
Ru 0.000 0.000 0.000
Rh 1.333 1.889 1.332
Rh 1.333 -1.889 1.332
Rh 2.666 0.000 0.000
```

Computed properties:
Uncorrected energy in eV/atom: -8.6170
Calculated formation energy in meV per atom: 30
Theoretical density in g/cm³: 12.687
Symmetry: Cmmm, No. 65


(14)
The following is a GGA-PBEsol calculation of a relaxed structure of RuRh2, from Alexandria via LeMat-Bulk.

Geometry as extended XYZ:
```
6
Lattice="4.875 -1.343 0.000 4.875 1.343 0.000 -1.548 0.000 6.145" Properties=species:S:1:pos:R:3 pbc="T T T"
Ru 1.704 0.000 0.847
Ru 6.498 0.000 5.297
Rh 0.552 0.000 3.266
Rh 4.306 0.000 1.167
Rh 3.895 0.000 4.977
Rh 7.650 0.000 2.879
```

Computed properties:
Uncorrected energy in eV/atom: -8.8015
Calculated formation energy in meV per atom: 15
Theoretical density in g/cm³: 12.664
Symmetry: C2/m, No. 12
Relative energy among the computed polymorphs in meV/atom: 11


(15)
The following is a GGA-PBEsol calculation of a relaxed structure of Ru2Rh, from Alexandria via LeMat-Bulk.

Geometry as extended XYZ:
```
6
Lattice="4.860 -1.342 0.000 4.860 1.342 0.000 -1.504 0.000 6.131" Properties=species:S:1:pos:R:3 pbc="T T T"
Ru 1.334 0.000 0.180
Ru 0.950 0.000 3.931
Ru 7.266 0.000 2.200
Ru 6.883 0.000 5.951
Rh 3.548 0.000 4.265
Rh 4.668 0.000 1.866
```

Computed properties:
Uncorrected energy in eV/atom: -9.4921
Calculated formation energy in meV per atom: 2
Theoretical density in g/cm³: 12.665
Symmetry: C2/m, No. 12
Relative energy among the computed polymorphs in meV/atom: 0


(16)
The following is a GGA-PBEsol calculation of a relaxed structure of RuRh7, from Alexandria via LeMat-Bulk.

Geometry as extended XYZ:
```
8
Lattice="0.000 3.773 3.773 3.773 0.000 3.773 3.773 3.773 0.000" Properties=species:S:1:pos:R:3 pbc="T T T"
Ru 0.000 0.000 0.000
Rh 1.886 1.886 0.000
Rh 1.886 0.000 1.886
Rh 3.773 1.886 1.886
Rh 0.000 1.886 1.886
Rh 1.886 3.773 1.886
Rh 1.886 1.886 3.773
Rh 3.773 3.773 3.773
```

Computed properties:
Uncorrected energy in eV/atom: -8.3770
Calculated formation energy in meV per atom: 16
Theoretical density in g/cm³: 12.700
Symmetry: Fm-3m, No. 225


(17)
The following is a GGA-PBEsol calculation of a relaxed structure of RuRh3, from Alexandria via LeMat-Bulk.

Geometry as extended XYZ:
```
4
Lattice="-1.342 4.306 2.324 1.342 -4.306 2.324 1.342 4.306 -2.324" Properties=species:S:1:pos:R:3 pbc="T T T"
Ru 0.000 0.000 0.000
Rh 1.342 2.137 -0.767
Rh 1.342 0.000 2.317
Rh 0.000 2.169 1.557
```

Computed properties:
Uncorrected energy in eV/atom: -8.6095
Calculated formation energy in meV per atom: 37
Theoretical density in g/cm³: 12.665
Symmetry: Imm2, No. 44


(18)
The following is a GGA-PBEsol calculation of a relaxed structure of RuRh4, from Alexandria via LeMat-Bulk.

Geometry as extended XYZ:
```
5
Lattice="-2.984 2.984 1.883 2.984 -2.984 1.883 2.984 2.984 -1.883" Properties=species:S:1:pos:R:3 pbc="T T T"
Ru 0.000 0.000 0.000
Rh 3.594 1.203 0.000
Rh 1.203 2.375 0.000
Rh 1.781 0.609 1.883
Rh -0.609 1.781 1.883
```

Computed properties:
Uncorrected energy in eV/atom: -8.5307
Calculated formation energy in meV per atom: 15
Theoretical density in g/cm³: 12.689
Symmetry: I4/m, No. 87
Relative energy among the computed polymorphs in meV/atom: 3


(19)
The following is a GGA-PBEsol calculation of a relaxed structure of Ru5Rh3, from Alexandria via LeMat-Bulk.

Geometry as extended XYZ:
```
8
Lattice="3.762 -3.786 0.000 3.762 3.786 0.000 0.000 0.000 3.752" Properties=species:S:1:pos:R:3 pbc="T T T"
Ru 0.000 0.000 0.000
Ru 1.881 1.893 0.000
Ru 3.762 1.903 1.876
Ru 1.881 -1.893 0.000
Ru 3.762 -1.903 1.876
Rh 1.872 0.000 1.876
Rh 3.762 0.000 0.000
Rh 5.652 0.000 1.876
```

Computed properties:
Uncorrected energy in eV/atom: -9.3453
Calculated formation energy in meV per atom: 64
Theoretical density in g/cm³: 12.650
Symmetry: Cmmm, No. 65


(20)
The following is a GGA-PBEsol calculation of a relaxed structure of RuRh3, from Alexandria via LeMat-Bulk.

Geometry as extended XYZ:
```
8
Lattice="4.291 0.000 0.000 0.000 5.376 0.000 0.000 0.000 4.658" Properties=species:S:1:pos:R:3 pbc="T T T"
Ru 1.073 1.344 0.783
Ru 3.218 4.032 3.875
Rh 1.073 0.007 3.101
Rh 1.073 2.681 3.101
Rh 1.073 4.032 0.754
Rh 3.218 1.344 3.904
Rh 3.218 2.695 1.557
Rh 3.218 5.369 1.557
```

Computed properties:
Uncorrected energy in eV/atom: -8.6178
Calculated formation energy in meV per atom: 29
Theoretical density in g/cm³: 12.668
Symmetry: Pmmn, No. 59